Record 1
Entry from Alexandria via LeMat-Bulk: Y2CrCd after structural relaxation (PBE).

Results
* total DFT energy (no corrections): -5.747 eV per atom
* formation energy from the elements: 0.12 eV/atom

```
Y2CrCd
1.0
-1.834 2.534 5.391
1.834 -2.534 5.391
1.834 2.534 -5.391
Y Cr Cd
2 1 1
Direct
0.000 0.000 0.000
0.721 0.221 0.500
0.468 0.468 0.000
0.264 0.764 0.500
```

=====

Record 2
Entry from Alexandria via LeMat-Bulk: CoIr2Pt after structural relaxation (PBE).

Results
* total DFT energy (no corrections): -7.185 eV per atom
* formation energy from the elements: 0.53 eV/atom

```
CoIr2Pt
1.0
-3.442 3.442 2.557
3.442 -3.442 2.557
3.442 3.442 -2.557
Co Ir Pt
2 4 2
Direct
0.000 0.000 0.000
0.750 0.250 0.500
0.083 0.625 0.958
0.375 0.333 0.458
0.667 0.125 0.042
0.875 0.917 0.542
0.250 0.750 0.500
0.500 0.500 0.000
```

=====

Record 3
Entry from Alexandria via LeMat-Bulk: Na3HgAs2 after structural relaxation (PBE).

Results
* total DFT energy (no corrections): -2.514 eV per atom
* formation energy from the elements: -0.25 eV/atom

```
Na3HgAs2
1.0
-3.232 6.218 4.205
3.232 -6.218 4.205
3.232 6.218 -4.205
Na Hg As
6 2 4
Direct
0.031 0.750 0.281
0.250 0.250 0.000
0.469 0.750 0.719
0.531 0.250 0.281
0.750 0.750 0.000
0.969 0.250 0.719
0.000 0.500 0.500
0.500 0.000 0.500
0.134 0.204 0.338
0.366 0.704 0.069
0.634 0.296 0.931
0.866 0.796 0.662
```

=====

Record 4
Entry from Alexandria via LeMat-Bulk: CaTiC3 after structural relaxation (PBE).

Results
* total DFT energy (no corrections): -4.631 eV per atom
* formation energy from the elements: 2.88 eV/atom

```
CaTiC3
1.0
4.143 0.000 0.000
0.000 4.143 0.000
0.000 0.000 4.143
Ca Ti C
1 1 3
Direct
0.000 0.000 0.000
0.500 0.500 0.500
0.000 0.000 0.500
0.000 0.500 0.000
0.500 0.000 0.000
```

=====

Record 5
Entry from Alexandria via LeMat-Bulk: CoNiPb after structural relaxation (PBE).

Results
* total DFT energy (no corrections): -5.061 eV per atom
* formation energy from the elements: 0.47 eV/atom

```
CoNiPb
1.0
4.100 0.000 0.000
-2.050 3.551 0.000
0.000 0.000 3.372
Co Ni Pb
1 1 1
Direct
0.000 0.000 0.000
0.333 0.667 0.004
0.667 0.333 0.501
```

=====

Record 6
Entry from Alexandria via LeMat-Bulk: BaZn3Rh after structural relaxation (PBE).

Results
* total DFT energy (no corrections): -2.787 eV per atom
* formation energy from the elements: -0.17 eV/atom

```
BaZn3Rh
1.0
-2.776 2.776 8.285
2.776 -2.776 8.285
2.776 2.776 -8.285
Ba Zn Rh
2 6 2
Direct
0.160 0.160 0.000
0.840 0.840 0.000
0.011 0.511 0.500
0.142 0.371 0.771
0.489 0.989 0.500
0.599 0.371 0.229
0.629 0.401 0.771
0.629 0.858 0.229
0.500 0.500 0.000
0.750 0.250 0.500
```

=====

Record 7
Entry from Alexandria via LeMat-Bulk: HoHf2TiN4 after structural relaxation (PBE).

Results
* ΔE_f (raw): -1706 meV/atom
* total DFT energy (no corrections): -9.916 eV per atom

```
HoHf2TiN4
1.0
-3.212 3.238 4.560
3.212 -3.238 4.560
3.212 3.238 -4.560
Ho Hf Ti N
2 4 2 8
Direct
0.500 0.000 0.000
0.500 0.500 0.500
0.000 0.000 0.000
0.000 0.000 0.500
0.000 0.500 0.000
0.500 0.000 0.500
0.000 0.500 0.500
0.500 0.500 0.000
0.235 0.249 0.986
0.237 0.751 0.486
0.243 0.243 0.500
0.243 0.743 0.000
0.757 0.257 0.000
0.757 0.757 0.500
0.763 0.249 0.514
0.765 0.751 0.014
```

=====

Record 8
Entry from Alexandria via LeMat-Bulk: In2BP after structural relaxation (PBE).

Results
* total DFT energy (no corrections): -3.405 eV per atom
* formation energy from the elements: 0.99 eV/atom

```
In2BP
1.0
0.000 3.345 3.345
3.345 0.000 3.345
3.345 3.345 0.000
In B P
2 1 1
Direct
0.250 0.250 0.250
0.750 0.750 0.750
0.000 0.000 0.000
0.500 0.500 0.500
```

=====

Record 9
Entry from Alexandria via LeMat-Bulk: Tb2Pm5Sb5 after structural relaxation (PBE).

Results
* ΔE_f (raw): -908 meV/atom
* total DFT energy (no corrections): -5.377 eV per atom

```
Tb2Pm5Sb5
1.0
7.272 -2.215 0.000
7.272 2.215 0.000
-4.335 0.000 12.072
Tb Pm Sb
2 5 5
Direct
0.044 0.044 0.288
0.956 0.956 0.712
0.274 0.274 0.154
0.340 0.340 0.461
0.500 0.500 0.000
0.660 0.660 0.539
0.726 0.726 0.846
0.000 0.000 0.500
0.118 0.118 0.927
0.309 0.309 0.710
0.691 0.691 0.290
0.882 0.882 0.073
```

=====

Record 10
Entry from Alexandria via LeMat-Bulk: Nd3DyHo12 after structural relaxation (PBE).

Results
* total DFT energy (no corrections): -4.593 eV per atom
* formation energy from the elements: 0.02 eV/atom

```
Nd3DyHo12
1.0
5.025 0.000 0.000
0.000 5.025 0.000
0.000 0.000 20.106
Nd Dy Ho
3 1 12
Direct
0.000 0.000 0.000
0.000 0.000 0.251
0.000 0.000 0.749
0.000 0.000 0.500
0.000 0.500 0.125
0.000 0.500 0.377
0.000 0.500 0.623
0.000 0.500 0.875
0.500 0.000 0.125
0.500 0.000 0.377
0.500 0.000 0.623
0.500 0.000 0.875
0.500 0.500 0.000
0.500 0.500 0.251
0.500 0.500 0.500
0.500 0.500 0.749
```

=====

These records have magnetization values of 3.2 1.9 0.0 0.0 1.9 0.0 0.0 0.0 0.0 0.0 Bohr magnetons per cell, in the order they appear.